{
  "formula": "Tm7Mg2Al2",
  "functional": "PBE",
  "state": "optimized geometry",
  "cell": [[3.4157, -5.5886, 0.0000], [3.4157, 5.5886, 0.0000], [0.0000, 0.0000, 8.3046]],
  "species": ["Tm", "Tm", "Tm", "Tm", "Tm", "Tm", "Tm", "Mg", "Mg", "Al", "Al"],
  "frac_coords": [[0.0000, 0.0000, 0.0000], [0.0000, 0.5000, 0.2899], [0.0000, 0.5000, 0.7101], [0.5000, 0.0000, 0.2899], [0.5000, 0.0000, 0.7101], [0.5000, 0.5000, 0.2030], [0.5000, 0.5000, 0.7970], [0.2064, 0.2064, 0.5000], [0.7936, 0.7936, 0.5000], [0.2762, 0.7238, 0.0000], [0.7238, 0.2762, 0.0000]],
  "vol_a3_per_fu": 317,
  "e_tot_ev_per_atom": -3.6994
}


{
  "formula": "TmMgAl",
  "functional": "PBE",
  "state": "optimized geometry",
  "cell": [[4.8107, 0.0000, 0.0000], [-2.4054, 4.1662, 0.0000], [0.0000, 0.0000, 6.7815]],
  "species": ["Tm", "Tm", "Mg", "Mg", "Al", "Al"],
  "frac_coords": [[0.0000, 0.0000, 0.2389], [0.0000, 0.0000, 0.7611], [0.3333, 0.6667, 0.5000], [0.6667, 0.3333, 0.5000], [0.3333, 0.6667, 0.0000], [0.6667, 0.3333, 0.0000]],
  "vol_a3_per_fu": 68,
  "e_tot_ev_per_atom": -3.4594
}